This record from Alexandria describes an optimized crystal structure of Li3Fe3O8. The functional is PBE with a Hubbard U.

Lattice parameters (Å, degrees): 5.7234 10.1229 9.9196 90.00 90.21 90.00
Last column: nearest neighbours and their distance in Å.
Space group Cc (No. 9)
Unique sites:
Li (0.0000, 0.0014, 0.0000) (multiplicity 4)  4 O 1.81-1.93
Li (0.9998, 0.3322, 0.4891) (multiplicity 4)  3 O 2.05-2.06
Li (0.4978, 0.1638, 0.6043) (multiplicity 4)  4 O 1.98-2.08
Fe (0.2472, 0.4157, 0.7857) (multiplicity 4)  6 O 1.90-1.95
Fe (0.2497, 0.0843, 0.2858) (multiplicity 4)  6 O 1.90-1.95
Fe (0.4986, 0.3322, 0.2846) (multiplicity 4)  6 O 1.90-2.05
O (0.2249, 0.2584, 0.6794) (multiplicity 4)  2 Fe 1.90-1.91, 1 Li 1.98
O (0.2340, 0.0775, 0.8848) (multiplicity 4)  2 Fe 1.90-1.91, 2 Li 1.92-2.05
O (0.2644, 0.4224, 0.3848) (multiplicity 4)  2 Fe 1.90-1.91, 2 Li 1.93-2.05
O (0.2706, 0.2415, 0.1797) (multiplicity 4)  2 Fe 1.90-1.91, 1 Li 1.98
O (0.4979, 0.0173, 0.1796) (multiplicity 4)  2 Fe 1.90, 1 Li 1.98
O (0.4978, 0.4929, 0.6828) (multiplicity 4)  1 Li 1.81, 2 Fe 1.93
O (0.4991, 0.1608, 0.3944) (multiplicity 4)  3 Fe 1.95-2.05, 1 Li 2.08
O (0.4990, 0.3462, 0.8882) (multiplicity 4)  2 Fe 1.90, 2 Li 1.92-2.06

As for the energy: -5.666 eV per atom. As for the density of states at the Fermi level: 32.0 states/eV/cell. The value obtained for the size of the total moment is 27.9 Bohr magnetons per cell.